An optimized crystal structure of Cr3NO, computed with PBE with a Hubbard U.

Output
Calculated volume (Å³ per cell): 70.3
Density of states at the Fermi level (states/eV/f.u.): 1.67
Energy above the lowest structure with this stoichiometry (meV per atom): 0

```
data_Cr3NO
_chemical_formula_sum 'Cr3 N1 O1'
_cell_length_a 4.127
_cell_length_b 4.127
_cell_length_c 4.127
_cell_angle_alpha 90.00
_cell_angle_beta 90.00
_cell_angle_gamma 90.00
_space_group_name_H-M_alt 'P m -3 m'
_space_group_IT_number 221
_space_group_name_Hall '-P 4 2 3'
loop_
_atom_site_label
_atom_site_type_symbol
_atom_site_fract_x
_atom_site_fract_y
_atom_site_fract_z
Cr1 Cr 0.000 0.000 0.500
N1 N 0.000 0.000 0.000
O1 O 0.500 0.500 0.500
```